# 1
Below is a relaxed structure of Pu2BeTl, with properties calculated at the GGA-PBE level.

DFT formation energy in eV per atom: 0.165
Space-group type: No. 123
Theoretical density in g cm⁻³: 12.82

Cell: 3.2801 3.2801 8.4419 Å, 90.00 90.00 90.00°
Last column: nearest neighbours and their distance in Å.
Sites, in units of the cell vectors:
Tl1 0.5000 0.5000 0.5000  4 Tl 3.28, 8 Pu 3.41
Be1 0.5000 0.5000 0.0000  8 Pu 2.89
Pu1 0.0000 0.0000 0.2035  4 Be 2.89
Pu2 0.0000 0.0000 0.7965  4 Be 2.89

***

# 2
Below is a relaxed structure of TcTeF2, with properties calculated at the GGA-PBE level.

Space-group type: No. 225
Raw formation energy in eV per atom: -0.26
Theoretical density in g cm⁻³: 7.04

Cell: 4.4477 4.4477 4.4477 Å, 60.00 60.00 60.00°
Last column: nearest neighbours and their distance in Å.
Sites, in units of the cell vectors:
F1 0.7500 0.7500 0.7500  4 Tc 2.72, 4 Te 2.72
Tc1 0.0000 0.0000 0.0000  8 F 2.72
F2 0.2500 0.2500 0.2500  4 Te 2.72, 4 Tc 2.72
Te1 0.5000 0.5000 0.5000  8 F 2.72

***

# 3
Below is a relaxed structure of Al2BiP, with properties calculated at the GGA-PBE level.

DFT formation energy in eV per atom: -0.064
Space-group type: No. 166
Theoretical density in g cm⁻³: 5.74

Cell: 3.7203 3.7203 7.4134 Å, 75.47 75.47 60.00°
Last column: nearest neighbours and their distance in Å.
Sites, in units of the cell vectors:
Al1 0.7303 0.7303 0.8091  3 P 2.54
Bi1 0.5000 0.5000 0.5000  6 Al 3.07
P1 0.0000 0.0000 0.0000  6 Al 2.54
Al2 0.2697 0.2697 0.1909  3 P 2.54

***

# 4
Below is a relaxed structure of LiZn6Pd, with properties calculated at the GGA-PBE level.

DFT formation energy in eV per atom: -0.220
Space-group type: No. 38
Theoretical density in g cm⁻³: 7.12

Cell: 4.2065 5.3965 5.3965 Å, 105.66 90.00 90.00°
Last column: nearest neighbours and their distance in Å.
Sites, in units of the cell vectors:
Pd1 0.5000 0.6738 0.3262  10 Zn 2.64-2.79
Zn1 0.5000 0.1768 0.3872  7 Zn 2.60-2.84, 2 Pd 2.64-2.79, 2 Li 2.66-2.77
Zn2 0.0000 0.8321 0.6230  6 Zn 2.64-2.78, 2 Pd 2.64, 2 Li 2.76
Li1 0.5000 0.1187 0.8813  12 Zn 2.66-2.95
Zn3 0.0000 0.8773 0.1227  8 Zn 2.64-2.80, 2 Pd 2.74, 2 Li 2.95
Zn4 0.0000 0.3770 0.1679  6 Zn 2.64-2.78, 2 Pd 2.64, 2 Li 2.76
Zn5 0.0000 0.3317 0.6683  8 Zn 2.60-2.78, 2 Li 2.79
Zn6 0.5000 0.6128 0.8232  7 Zn 2.60-2.84, 2 Pd 2.64-2.79, 2 Li 2.66-2.77

***

Among the records above, which one has the lowest theoretical density? Al2BiP